## Pm2PuMoO8 (PBE+U)

Data for a relaxed structure of Pm2PuMoO8.

a b c (Å): 5.096 5.101 6.926
angles (deg): 89.99 90.00 91.80
Sites, in units of the cell vectors:
Pm 0.501 0.501 0.744
Pm 0.499 0.499 0.256
Pu 0.000 0.000 0.000
Mo 0.000 0.000 0.500
O 0.178 0.824 0.264
O 0.710 0.709 0.000
O 0.823 0.177 0.264
O 0.822 0.176 0.736
O 0.290 0.291 0.000
O 0.177 0.823 0.736
O 0.730 0.729 0.500
O 0.270 0.271 0.500

Output
Its density of states at the Fermi level is 9.8 states/eV/f.u. The value obtained for the total energy is -103.0 eV per cell.